VASP calculation (PBE+U) on an optimized crystal structure of MnAgGeF2.

Cell: 4.1853 4.1853 5.2972 Å, 90.00 90.00 90.00°
Last column: nearest neighbours and their distance in Å.
Space group P4/mmm (No. 123)
One atom of each set of equivalent atoms:
Mn: 0.0000 0.0000 0.0000 [1 per cell]  4 Ag 2.96
Ag: 0.5000 0.5000 0.0000 [1 per cell]  2 Ge 2.65, 4 Mn 2.96
Ge: 0.5000 0.5000 0.5000 [1 per cell]  4 F 2.09
F: 0.0000 0.5000 0.5000 [2 per cell]  2 Ge 2.09

Values from the calculation:
DFT total energy = -4.5406 eV per atom